[1]
# TaCd PBE relaxed
# **D(E_F)**: 0.99 states/eV/atom
# **Calculated formation energy**: 0.358 eV per atom
# **DFT total energy**: -6.025 eV/atom
# **V**: 38.9 Å³/f.u.
data_TaCd
_chemical_formula_sum 'Ta3 Cd3'
_cell_length_a 2.9613
_cell_length_b 2.9613
_cell_length_c 15.3645
_cell_angle_alpha 90.00
_cell_angle_beta 90.00
_cell_angle_gamma 120.00
_symmetry_space_group_name_H-M 'R -3 m'
_symmetry_Int_Tables_number 166
_symmetry_space_group_name_Hall '-R 3 2"'
loop_
_atom_site_label
_atom_site_fract_x
_atom_site_fract_y
_atom_site_fract_z
Ta1 0.0000 0.0000 0.0000
Cd1 0.0000 0.0000 0.5000


[2]
# Ti4Al2H PBE relaxed
# **D(E_F)**: 0.72 states/eV/atom
# **ΔE to the lowest computed polymorph**: 0.0 meV/atom
# **DFT total energy**: -6.363 eV/atom
# **V**: 101.5 Å³/f.u.
data_Ti4Al2H
_chemical_formula_sum 'Ti8 Al4 H2'
_cell_length_a 4.710
_cell_length_b 5.579
_cell_length_c 7.748
_cell_angle_alpha 90.00
_cell_angle_beta 94.17
_cell_angle_gamma 90.00
_symmetry_space_group_name_H-M 'P 1 21/m 1'
_symmetry_Int_Tables_number 11
loop_
_symmetry_equiv_pos_as_xyz
'x,y,z'
'-x,-y,-z'
'-x,y+1/2,-z'
'x,-y+1/2,z'
loop_
_atom_site_label
_atom_site_fract_x
_atom_site_fract_y
_atom_site_fract_z
Ti1 0.222 0.250 0.076
Ti2 0.224 0.750 0.411
Ti3 0.266 0.509 0.743
Al1 0.257 0.250 0.417
Al2 0.301 0.750 0.069
H1 0.047 0.250 0.819


[3]
# KCdIr3 PBE relaxed
# **D(E_F)**: 1.41 states/eV/atom
# **ΔE to the lowest computed polymorph**: 871.7 meV/atom
# **Calculated formation energy**: 2.842 eV per atom
# **DFT total energy**: -2.877 eV/atom
# **V**: 106.7 Å³/f.u.
data_KCdIr3
_chemical_formula_sum 'K1 Cd1 Ir3'
_cell_length_a 4.744
_cell_length_b 4.744
_cell_length_c 4.744
_cell_angle_alpha 90.00
_cell_angle_beta 90.00
_cell_angle_gamma 90.00
_symmetry_space_group_name_H-M 'P m -3 m'
_symmetry_Int_Tables_number 221
_symmetry_space_group_name_Hall '-P 4 2 3'
loop_
_atom_site_label
_atom_site_fract_x
_atom_site_fract_y
_atom_site_fract_z
K1 0.000 0.000 0.000
Cd1 0.500 0.500 0.500
Ir1 0.000 0.000 0.500


[4]
# Dy6C3S2I PBE relaxed
# **D(E_F)**: 0.20 states/eV/atom
# **DFT total energy**: -6.487 eV/atom
# **V**: 241.9 Å³/f.u.
# **Formation energy from raw total energies**: -1.0631 eV/atom
data_Dy6C3S2I
_chemical_formula_sum 'Dy12 C6 S4 I2'
_cell_length_a 17.119
_cell_length_b 3.746
_cell_length_c 7.920
_cell_angle_alpha 90.00
_cell_angle_beta 107.68
_cell_angle_gamma 90.00
_symmetry_space_group_name_H-M 'C 1 2/m 1'
_symmetry_Int_Tables_number 12
loop_
_symmetry_equiv_pos_as_xyz
'x,y,z'
'-x,-y,-z'
'-x,y,-z'
'x,-y,z'
'x+1/2,y+1/2,z'
'-x+1/2,-y+1/2,-z'
'-x+1/2,y+1/2,-z'
'x+1/2,-y+1/2,z'
loop_
_atom_site_label
_atom_site_fract_x
_atom_site_fract_y
_atom_site_fract_z
Dy1 0.013 0.000 0.208
Dy2 0.160 0.500 0.103
Dy3 0.183 0.500 0.564
C1 0.000 0.500 0.000
C2 0.167 0.000 0.331
S1 0.165 0.000 0.830
I1 0.000 0.500 0.500


[5]
# CuSi2As PBE relaxed
# **D(E_F)**: 0.19 states/eV/atom
# **ΔE to the lowest computed polymorph**: 36.6 meV/atom
# **DFT total energy**: -4.653 eV/atom
# **V**: 81.1 Å³/f.u.
# **Formation energy from raw total energies**: 0.2450 eV/atom
data_CuSi2As
_chemical_formula_sum 'Cu4 Si8 As4'
_cell_length_a 5.622
_cell_length_b 5.622
_cell_length_c 10.267
_cell_angle_alpha 90.00
_cell_angle_beta 90.00
_cell_angle_gamma 90.00
_symmetry_space_group_name_H-M 'I -4 2 d'
_symmetry_Int_Tables_number 122
_symmetry_space_group_name_Hall 'I -4 2bw'
loop_
_atom_site_label
_atom_site_fract_x
_atom_site_fract_y
_atom_site_fract_z
Cu1 0.000 0.000 0.000
Si1 0.230 0.250 0.125
As1 0.000 0.000 0.500


[6]
# CeMg2ScTl4 PBE relaxed
# **D(E_F)**: 1.10 states/eV/atom
# **Calculated formation energy**: -0.163 eV per atom
# **DFT total energy**: -3.278 eV/atom
# **V**: 203.4 Å³/f.u.
data_CeMg2ScTl4
_chemical_formula_sum 'Ce3 Mg6 Sc3 Tl12'
_cell_length_a 5.1652
_cell_length_b 5.1652
_cell_length_c 26.4039
_cell_angle_alpha 90.00
_cell_angle_beta 90.00
_cell_angle_gamma 120.00
_symmetry_space_group_name_H-M 'R -3 m'
_symmetry_Int_Tables_number 166
_symmetry_space_group_name_Hall '-R 3 2"'
loop_
_atom_site_label
_atom_site_fract_x
_atom_site_fract_y
_atom_site_fract_z
Ce1 0.0000 0.0000 0.0000
Mg1 0.0000 0.0000 0.2490
Sc1 0.0000 0.0000 0.5000
Tl1 0.0000 0.0000 0.1284
Tl2 0.0000 0.0000 0.3816


[7]
# K2TlAg3Br6 PBE relaxed
# **D(E_F)**: 0.00 states/eV/atom
# **DFT total energy**: -2.786 eV/atom
# **V**: 363.4 Å³/f.u.
# **Formation energy from raw total energies**: -0.8564 eV/atom
data_K2TlAg3Br6
_chemical_formula_sum 'K4 Tl2 Ag6 Br12'
_cell_length_a 19.249
_cell_length_b 4.406
_cell_length_c 8.803
_cell_angle_alpha 90.00
_cell_angle_beta 103.23
_cell_angle_gamma 90.00
_symmetry_space_group_name_H-M 'C 1 2/m 1'
_symmetry_Int_Tables_number 12
loop_
_symmetry_equiv_pos_as_xyz
'x,y,z'
'-x,-y,-z'
'-x,y,-z'
'x,-y,z'
'x+1/2,y+1/2,z'
'-x+1/2,-y+1/2,-z'
'-x+1/2,y+1/2,-z'
'x+1/2,-y+1/2,z'
loop_
_atom_site_label
_atom_site_fract_x
_atom_site_fract_y
_atom_site_fract_z
K1 0.165 0.000 0.329
Tl1 0.000 0.500 0.000
Ag1 0.000 0.500 0.500
Ag2 0.170 0.000 0.828
Br1 0.010 0.000 0.725
Br2 0.160 0.500 0.602
Br3 0.175 0.500 0.060


[8]
# Zr2PdN2 PBE relaxed
# **D(E_F)**: 0.20 states/eV/atom
# **ΔE to the lowest computed polymorph**: 0.0 meV/atom
# **DFT total energy**: -8.787 eV/atom
# **V**: 81.0 Å³/f.u.
# **Formation energy from raw total energies**: -0.9986 eV/atom
data_Zr2PdN2
_chemical_formula_sum 'Zr4 Pd2 N4'
_cell_length_a 3.790
_cell_length_b 3.790
_cell_length_c 11.280
_cell_angle_alpha 90.00
_cell_angle_beta 90.00
_cell_angle_gamma 90.00
_symmetry_space_group_name_H-M 'I 4/m m m'
_symmetry_Int_Tables_number 139
_symmetry_space_group_name_Hall '-I 4 2'
loop_
_atom_site_label
_atom_site_fract_x
_atom_site_fract_y
_atom_site_fract_z
Zr1 0.000 0.000 0.165
Pd1 0.000 0.000 0.500
N1 0.000 0.500 0.250


[9]
# Pm2Mg2Zn PBE relaxed
# **D(E_F)**: 0.79 states/eV/atom
# **Calculated formation energy**: -0.059 eV per atom
# **DFT total energy**: -2.852 eV/atom
# **V**: 129.2 Å³/f.u.
data_Pm2Mg2Zn
_chemical_formula_sum 'Pm4 Mg4 Zn2'
_cell_length_a 4.751
_cell_length_b 16.267
_cell_length_c 3.343
_cell_angle_alpha 90.00
_cell_angle_beta 90.00
_cell_angle_gamma 90.00
_symmetry_space_group_name_H-M 'C m m m'
_symmetry_Int_Tables_number 65
_symmetry_space_group_name_Hall '-C 2 2'
loop_
_atom_site_label
_atom_site_fract_x
_atom_site_fract_y
_atom_site_fract_z
Pm1 0.000 0.098 0.000
Mg1 0.000 0.300 0.500
Zn1 0.000 0.500 0.500


[10]
# CuNi2Mo PBE relaxed
# **D(E_F)**: 1.12 states/eV/atom
# **ΔE to the lowest computed polymorph**: 87.8 meV/atom
# **Calculated formation energy**: 0.081 eV per atom
# **DFT total energy**: -6.542 eV/atom
# **V**: 49.7 Å³/f.u.
data_CuNi2Mo
_chemical_formula_sum 'Cu2 Ni4 Mo2'
_cell_length_a 4.032
_cell_length_b 2.558
_cell_length_c 9.633
_cell_angle_alpha 90.00
_cell_angle_beta 90.00
_cell_angle_gamma 90.00
_symmetry_space_group_name_H-M 'A m m 2'
_symmetry_Int_Tables_number 38
loop_
_symmetry_equiv_pos_as_xyz
'x,y,z'
'-x,-y,z'
'-x,y,z'
'x,-y,z'
'x,y+1/2,z+1/2'
'-x,-y+1/2,z+1/2'
'-x,y+1/2,z+1/2'
'x,-y+1/2,z+1/2'
loop_
_atom_site_label
_atom_site_fract_x
_atom_site_fract_y
_atom_site_fract_z
Cu1 0.000 0.000 0.000
Ni1 0.000 0.000 0.263
Ni2 0.500 0.000 0.402
Mo1 0.500 0.000 0.656


[11]
# Ho2Si4Os3 PBE relaxed
# **D(E_F)**: 0.96 states/eV/atom
# **ΔE to the lowest computed polymorph**: 203.4 meV/atom
# **DFT total energy**: -7.598 eV/atom
# **V**: 156.6 Å³/f.u.
# **Formation energy from raw total energies**: -0.4272 eV/atom
data_Ho2Si4Os3
_chemical_formula_sum 'Ho8 Si16 Os12'
_cell_length_a 5.518
_cell_length_b 9.549
_cell_length_c 11.890
_cell_angle_alpha 90.00
_cell_angle_beta 90.00
_cell_angle_gamma 90.00
_symmetry_space_group_name_H-M 'F m m m'
_symmetry_Int_Tables_number 69
_symmetry_space_group_name_Hall '-F 2 2'
loop_
_atom_site_label
_atom_site_fract_x
_atom_site_fract_y
_atom_site_fract_z
Ho1 0.000 0.000 0.134
Si1 0.000 0.177 0.342
Os1 0.000 0.000 0.500
Os2 0.250 0.250 0.000


[12]
# TmLu2V PBE relaxed
# **D(E_F)**: 1.24 states/eV/atom
# **ΔE to the lowest computed polymorph**: 0.0 meV/atom
# **Calculated formation energy**: 0.191 eV per atom
# **DFT total energy**: -5.467 eV/atom
# **V**: 103.9 Å³/f.u.
data_TmLu2V
_chemical_formula_sum 'Tm1 Lu2 V1'
_cell_length_a 3.531
_cell_length_b 3.531
_cell_length_c 8.333
_cell_angle_alpha 90.00
_cell_angle_beta 90.00
_cell_angle_gamma 90.00
_symmetry_space_group_name_H-M 'P 4/m m m'
_symmetry_Int_Tables_number 123
_symmetry_space_group_name_Hall '-P 4 2'
loop_
_atom_site_label
_atom_site_fract_x
_atom_site_fract_y
_atom_site_fract_z
Tm1 0.000 0.000 0.000
Lu1 0.500 0.500 0.299
V1 0.000 0.000 0.500